Compound: ErBeRh
Source: Alexandria
Functional: PBE-GGA
Structure: optimized geometry

Geometry as POSCAR:
```
ErBeRh
1.0
4.139 0.000 0.000
0.000 7.083 0.000
0.000 0.000 6.744
Er Be Rh
4 4 4
Direct
0.250 0.805 0.495
0.750 0.305 0.005
0.250 0.695 0.995
0.750 0.195 0.505
0.750 0.908 0.182
0.750 0.592 0.682
0.250 0.092 0.818
0.250 0.408 0.318
0.750 0.574 0.325
0.750 0.926 0.825
0.250 0.074 0.175
0.250 0.426 0.675
```

Output
Magnetization   0.0 Bohr magnetons per cell
DFT total energy   -0.2154 Ha/atom
Formation energy   -0.65 eV per atom
ΔE to the lowest computed polymorph   0 meV per atom